NaAcTlRh: optimized geometry, PBE-GGA.

abc: 5.172 5.172 5.172
angles: 60.00 60.00 60.00
Fractional positions:
Na: 0.000 0.000 0.000
Ac: 0.750 0.750 0.750
Tl: 0.250 0.250 0.250
Rh: 0.500 0.500 0.500

Properties
E_tot in eV/atom: -3.93


Sr2CdCu4Si3: optimized geometry, PBE-GGA.

abc: 4.295 4.295 10.125
angles: 90.00 90.00 90.00
Fractional positions:
Sr: 0.000 0.500 0.239
Sr: 0.500 0.000 0.761
Cd: 0.000 0.000 0.500
Cu: 0.000 0.000 0.000
Cu: 0.000 0.500 0.645
Cu: 0.500 0.000 0.355
Cu: 0.500 0.500 0.000
Si: 0.000 0.500 0.881
Si: 0.500 0.000 0.119
Si: 0.500 0.500 0.500

Properties
E_tot in eV/atom: -3.94


> Look up the E_tot of the first one.

-3.93 eV/atom


> Which value of E_tot does entry 1 give?

-3.93 eV/atom


> Which value of E_tot does entry 1 give?

-3.93 eV/atom


> E_tot of number 1 (NaAcTlRh)?

-3.93 eV/atom